# ZrCl5

Crystalline ZrCl5 at its relaxed geometry (PBE, Alexandria).

Results
For the formation energy from raw total energies, the calculation gives -1.167 eV per atom. For the volume, the calculation gives 194.4 Å³/cell. The uncorrected energy is -24.8 eV per formula unit.

Unit cell a=7.233 b=7.233 c=8.113 alpha=81.46 beta=81.46 gamma=27.61
Site moments in Bohr magnetons follow the coordinates.
Fractional coordinates of all 6 atoms:
Cl: 0.710 0.710 0.808  0.00
Cl: 0.325 0.325 0.278  0.06
Cl: 0.996 0.996 0.586  0.63
Cl: 0.899 0.899 0.951  0.09
Cl: 0.643 0.643 0.186  0.01
Zr: 0.259 0.259 0.024  -0.01

---

# ZrCl5

Crystalline ZrCl5 at its relaxed geometry (PBE, Alexandria).

Results
For the formation energy from raw total energies, the calculation gives -0.691 eV per atom. For the volume, the calculation gives 146.3 Å³/cell. The uncorrected energy is -21.9 eV per formula unit.

Unit cell a=7.460 b=7.460 c=4.948 alpha=90.00 beta=90.00 gamma=147.92
Fractional coordinates of all 6 atoms:
Cl: 0.118 0.882 0.000
Cl: 0.627 0.373 0.500
Cl: 0.373 0.627 0.500
Cl: 0.000 0.000 0.500
Cl: 0.882 0.118 0.000
Zr: 0.500 0.500 0.000

---

# Zr2Cl

Crystalline Zr2Cl at its relaxed geometry (PBE, Alexandria).

Results
For the formation energy from raw total energies, the calculation gives -0.428 eV per atom. For the volume, the calculation gives 126.5 Å³/cell. The uncorrected energy is -20.2 eV per formula unit.

Unit cell a=7.047 b=7.047 c=6.187 alpha=71.10 beta=71.10 gamma=25.89
Fractional coordinates of all 6 atoms:
Cl: 0.653 0.653 0.635
Cl: 0.957 0.957 0.087
Zr: 0.736 0.736 0.957
Zr: 0.075 0.075 0.338
Zr: 0.429 0.429 0.755
Zr: 0.316 0.316 0.395

---

# ZrCl2

Crystalline ZrCl2 at its relaxed geometry (PBE, Alexandria).

Results
For the formation energy from raw total energies, the calculation gives -1.139 eV per atom. For the volume, the calculation gives 275.7 Å³/cell. The uncorrected energy is -15.7 eV per formula unit.

Unit cell a=6.509 b=6.509 c=6.509 alpha=90.00 beta=90.00 gamma=90.00
Site moments in Bohr magnetons follow the coordinates.
Fractional coordinates of all 12 atoms:
Zr: 0.500 0.500 0.000  1.34
Zr: 0.000 0.000 0.000  1.34
Zr: 0.000 0.500 0.500  1.34
Zr: 0.500 0.000 0.500  1.34
Cl: 0.151 0.651 0.151  -0.03
Cl: 0.849 0.151 0.349  -0.03
Cl: 0.651 0.849 0.849  -0.03
Cl: 0.849 0.349 0.849  -0.03
Cl: 0.349 0.151 0.151  -0.03
Cl: 0.651 0.651 0.349  -0.03
Cl: 0.349 0.349 0.651  -0.03
Cl: 0.151 0.849 0.651  -0.03

---

# Zr2Cl

Crystalline Zr2Cl at its relaxed geometry (PBE, Alexandria).

Results
For the formation energy from raw total energies, the calculation gives -0.429 eV per atom. For the volume, the calculation gives 64.5 Å³/cell. The uncorrected energy is -20.2 eV per formula unit.

Unit cell a=6.933 b=6.933 c=6.933 alpha=153.88 beta=153.88 gamma=37.28
Fractional coordinates of all 3 atoms:
Zr: 0.832 0.832 0.000
Zr: 0.168 0.168 0.000
Cl: 0.500 0.500 0.000

---

# ZrCl2

Crystalline ZrCl2 at its relaxed geometry (PBE, Alexandria).

Results
For the formation energy from raw total energies, the calculation gives -1.364 eV per atom. For the volume, the calculation gives 71.3 Å³/cell. The uncorrected energy is -16.3 eV per formula unit.

Unit cell a=7.262 b=7.262 c=7.262 alpha=154.42 beta=154.42 gamma=36.49
Site moments in Bohr magnetons follow the coordinates.
Fractional coordinates of all 3 atoms:
Cl: 0.612 0.612 0.000  -0.01
Cl: 0.388 0.388 0.000  -0.01
Zr: 0.000 0.000 0.000  0.32

---

# ZrCl4

Crystalline ZrCl4 at its relaxed geometry (PBE, Alexandria).

Results
For the formation energy from raw total energies, the calculation gives -1.780 eV per atom. For the volume, the calculation gives 340.8 Å³/cell. The uncorrected energy is -24.8 eV per formula unit.

Unit cell a=8.112 b=6.369 c=6.950 alpha=71.64 beta=90.00 gamma=90.00
Fractional coordinates of all 10 atoms:
Zr: 0.847 0.750 0.000
Zr: 0.153 0.250 0.000
Cl: 0.098 0.998 0.791
Cl: 0.902 0.002 0.209
Cl: 0.902 0.498 0.791
Cl: 0.098 0.502 0.209
Cl: 0.339 0.469 0.763
Cl: 0.661 0.969 0.763
Cl: 0.339 0.031 0.237
Cl: 0.661 0.531 0.237

---

# Zr3Cl2

Crystalline Zr3Cl2 at its relaxed geometry (PBE, Alexandria).

Results
For the formation energy from raw total energies, the calculation gives -0.028 eV per atom. For the volume, the calculation gives 102.0 Å³/cell. The uncorrected energy is -29.5 eV per formula unit.

Unit cell a=4.707 b=4.707 c=5.314 alpha=90.00 beta=90.00 gamma=120.00
Fractional coordinates of all 5 atoms:
Zr: 0.000 0.000 0.000
Zr: 0.333 0.667 0.359
Zr: 0.667 0.333 0.641
Cl: 0.333 0.667 0.856
Cl: 0.667 0.333 0.144

---

# Zr5Cl

Crystalline Zr5Cl at its relaxed geometry (PBE, Alexandria).

Results
For the formation energy from raw total energies, the calculation gives 0.113 eV per atom. For the volume, the calculation gives 135.0 Å³/cell. The uncorrected energy is -43.9 eV per formula unit.

Unit cell a=5.471 b=5.471 c=5.207 alpha=90.00 beta=90.00 gamma=120.00
Fractional coordinates of all 6 atoms:
Zr: 0.333 0.333 0.000
Zr: 0.667 0.333 0.500
Zr: 0.667 0.000 0.000
Zr: 0.333 0.667 0.500
Zr: 0.000 0.667 0.000
Cl: 0.000 0.000 0.500

---

# Zr2Cl

Crystalline Zr2Cl at its relaxed geometry (PBE, Alexandria).

Results
For the formation energy from raw total energies, the calculation gives -0.583 eV per atom. For the volume, the calculation gives 146.0 Å³/cell. The uncorrected energy is -20.7 eV per formula unit.

Unit cell a=6.386 b=6.386 c=8.219 alpha=62.44 beta=62.44 gamma=29.74
Fractional coordinates of all 6 atoms:
Cl: 0.396 0.396 0.411
Cl: 0.604 0.604 0.589
Zr: 0.875 0.875 0.166
Zr: 0.367 0.367 0.866
Zr: 0.125 0.125 0.834
Zr: 0.633 0.633 0.134

---

# Zr2Cl

Crystalline Zr2Cl at its relaxed geometry (PBE, Alexandria).

Results
For the formation energy from raw total energies, the calculation gives 0.227 eV per atom. For the volume, the calculation gives 315.4 Å³/cell. The uncorrected energy is -18.3 eV per formula unit.

Unit cell a=5.769 b=5.769 c=10.945 alpha=90.00 beta=90.00 gamma=120.00
Fractional coordinates of all 12 atoms:
Cl: 0.333 0.667 0.552
Cl: 0.667 0.333 0.052
Cl: 0.333 0.667 0.948
Cl: 0.667 0.333 0.448
Zr: 0.000 0.000 0.500
Zr: 0.000 0.000 0.000
Zr: 0.163 0.837 0.750
Zr: 0.837 0.674 0.250
Zr: 0.326 0.163 0.250
Zr: 0.163 0.326 0.750
Zr: 0.674 0.837 0.750
Zr: 0.837 0.163 0.250

---

# ZrCl2

Crystalline ZrCl2 at its relaxed geometry (PBE, Alexandria).

Results
For the formation energy from raw total energies, the calculation gives -0.434 eV per atom. For the volume, the calculation gives 336.3 Å³/cell. The uncorrected energy is -13.5 eV per formula unit.

Unit cell a=6.031 b=6.031 c=10.677 alpha=90.00 beta=90.00 gamma=120.00
Site moments in Bohr magnetons follow the coordinates.
Fractional coordinates of all 12 atoms:
Cl: 0.667 0.833 0.750  0.01
Cl: 0.000 0.000 0.500  0.00
Cl: 0.167 0.333 0.750  0.01
Cl: 0.333 0.167 0.250  0.01
Cl: 0.833 0.167 0.250  0.01
Cl: 0.000 0.000 0.000  0.00
Cl: 0.833 0.667 0.250  0.01
Cl: 0.167 0.833 0.750  0.01
Zr: 0.333 0.667 0.923  1.02
Zr: 0.667 0.333 0.077  1.02
Zr: 0.333 0.667 0.577  1.02
Zr: 0.667 0.333 0.423  1.02

---

# ZrCl2

Crystalline ZrCl2 at its relaxed geometry (PBE, Alexandria).

Results
For the formation energy from raw total energies, the calculation gives -1.298 eV per atom. For the volume, the calculation gives 272.0 Å³/cell. The uncorrected energy is -16.1 eV per formula unit.

Unit cell a=4.378 b=9.406 c=6.605 alpha=90.00 beta=90.00 gamma=90.00
Fractional coordinates of all 12 atoms:
Cl: 0.250 0.799 0.113
Cl: 0.250 0.986 0.710
Cl: 0.750 0.701 0.613
Cl: 0.250 0.486 0.790
Cl: 0.250 0.299 0.387
Cl: 0.750 0.201 0.887
Cl: 0.750 0.014 0.290
Cl: 0.750 0.514 0.210
Zr: 0.750 0.409 0.581
Zr: 0.250 0.091 0.081
Zr: 0.250 0.591 0.419
Zr: 0.750 0.909 0.919

---

# Zr3Cl2

Crystalline Zr3Cl2 at its relaxed geometry (PBE, Alexandria).

Results
For the formation energy from raw total energies, the calculation gives -0.588 eV per atom. For the volume, the calculation gives 118.5 Å³/cell. The uncorrected energy is -32.3 eV per formula unit.

Unit cell a=12.867 b=12.867 c=12.867 alpha=14.64 beta=14.64 gamma=14.64
Site moments in Bohr magnetons follow the coordinates.
Fractional coordinates of all 5 atoms:
Cl: 0.382 0.382 0.382  0.01
Cl: 0.618 0.618 0.618  0.01
Zr: 0.197 0.197 0.197  0.36
Zr: 0.000 0.000 0.000  0.03
Zr: 0.803 0.803 0.803  0.36

---

# Zr2Cl

Crystalline Zr2Cl at its relaxed geometry (PBE, Alexandria).

Results
For the formation energy from raw total energies, the calculation gives -0.426 eV per atom. For the volume, the calculation gives 130.3 Å³/cell. The uncorrected energy is -20.2 eV per formula unit.

Unit cell a=5.733 b=5.733 c=8.429 alpha=63.62 beta=63.62 gamma=32.02
Fractional coordinates of all 6 atoms:
Zr: 0.351 0.351 0.072
Zr: 0.649 0.649 0.928
Zr: 0.971 0.971 0.724
Zr: 0.029 0.029 0.276
Cl: 0.340 0.340 0.583
Cl: 0.660 0.660 0.417

---

# ZrCl2

Crystalline ZrCl2 at its relaxed geometry (PBE, Alexandria).

Results
For the formation energy from raw total energies, the calculation gives -1.500 eV per atom. For the volume, the calculation gives 152.5 Å³/cell. The uncorrected energy is -16.7 eV per formula unit.

Unit cell a=6.580 b=6.580 c=7.873 alpha=68.78 beta=68.78 gamma=28.83
Fractional coordinates of all 6 atoms:
Zr: 0.847 0.847 0.009
Zr: 0.153 0.153 0.991
Cl: 0.222 0.222 0.264
Cl: 0.778 0.778 0.736
Cl: 0.503 0.503 0.792
Cl: 0.497 0.497 0.208

---

# Zr2Cl

Crystalline Zr2Cl at its relaxed geometry (PBE, Alexandria).

Results
For the formation energy from raw total energies, the calculation gives -0.510 eV per atom. For the volume, the calculation gives 127.2 Å³/cell. The uncorrected energy is -20.5 eV per formula unit.

Unit cell a=7.882 b=7.882 c=5.210 alpha=90.00 beta=90.00 gamma=156.86
Fractional coordinates of all 6 atoms:
Zr: 0.140 0.860 0.750
Zr: 0.860 0.140 0.250
Zr: 0.465 0.535 0.750
Zr: 0.535 0.465 0.250
Cl: 0.791 0.209 0.750
Cl: 0.209 0.791 0.250

---

# ZrCl2

Crystalline ZrCl2 at its relaxed geometry (PBE, Alexandria).

Results
For the formation energy from raw total energies, the calculation gives -1.365 eV per atom. For the volume, the calculation gives 147.1 Å³/cell. The uncorrected energy is -16.3 eV per formula unit.

Unit cell a=14.411 b=14.411 c=14.411 alpha=167.19 beta=167.19 gamma=18.15
Site moments in Bohr magnetons follow the coordinates.
Fractional coordinates of all 6 atoms:
Cl: 0.446 0.446 0.000  -0.01
Cl: 0.304 0.804 0.500  -0.01
Cl: 0.196 0.696 0.500  -0.01
Cl: 0.554 0.554 0.000  -0.01
Zr: 0.750 0.250 0.500  0.32
Zr: 0.000 0.000 0.000  0.32

---

# Zr2Cl

Crystalline Zr2Cl at its relaxed geometry (PBE, Alexandria).

Results
For the formation energy from raw total energies, the calculation gives 0.551 eV per atom. For the volume, the calculation gives 68.9 Å³/cell. The uncorrected energy is -17.3 eV per formula unit.

Unit cell a=5.132 b=5.132 c=3.019 alpha=90.00 beta=90.00 gamma=120.00
Site moments in Bohr magnetons follow the coordinates.
Fractional coordinates of all 3 atoms:
Cl: 0.000 0.000 0.000  0.04
Zr: 0.333 0.667 0.500  0.48
Zr: 0.667 0.333 0.500  0.48

---

# Zr5Cl

Crystalline Zr5Cl at its relaxed geometry (PBE, Alexandria).

Results
For the formation energy from raw total energies, the calculation gives -0.049 eV per atom. For the volume, the calculation gives 142.0 Å³/cell. The uncorrected energy is -44.9 eV per formula unit.

Unit cell a=8.802 b=8.802 c=5.242 alpha=90.00 beta=90.00 gamma=159.54
Fractional coordinates of all 6 atoms:
Zr: 0.332 0.668 0.000
Zr: 0.089 0.911 0.500
Zr: 0.762 0.238 0.500
Zr: 0.678 0.322 0.000
Zr: 0.417 0.583 0.500
Cl: 0.055 0.945 0.000